Entry 1:
A plane-wave DFT calculation with PBE was carried out for a relaxed PrDyGe2Pd2 crystal.

Cell lengths 4.4602, 4.4602, 7.3180 Å; angles 90.00, 90.00, 120.00 degrees
Space group P-3m1 (No. 164)
One atom of each set of equivalent atoms:
Pr: 0.0000 0.0000 0.0000 [1 per cell]
Dy: 0.0000 0.0000 0.5000 [1 per cell]
Ge: 0.3333 0.6667 0.2668 [2 per cell]
Pd: 0.3333 0.6667 0.7097 [2 per cell]

E_tot (eV/f.u.): -34.527
DOS(E_F) (states/eV/atom): 0.806

Entry 2:
A plane-wave DFT calculation with PBE was carried out for a relaxed PrDyGePd crystal.

Cell lengths 4.3393, 4.0585, 11.0945 Å; angles 90.00, 90.00, 90.00 degrees
Space group Amm2 (No. 38)
One atom of each set of equivalent atoms:
Pr: 0.0000 0.0000 0.0000 [2 per cell]
Dy: 0.5000 0.0000 0.7236 [2 per cell]
Ge: 0.5000 0.0000 0.4347 [2 per cell]
Pd: 0.0000 0.0000 0.2776 [2 per cell]

E_tot (eV/f.u.): -22.522
DOS(E_F) (states/eV/atom): 0.517

Entry 3:
A plane-wave DFT calculation with PBE was carried out for a relaxed Dy2Ge4PdPt3 crystal.

Cell lengths 4.2816, 4.2816, 10.2449 Å; angles 90.00, 90.00, 90.00 degrees
Space group P-4m2 (No. 115)
One atom of each set of equivalent atoms:
Dy: 0.0000 0.5000 0.2462 [2 per cell]
Ge: 0.0000 0.0000 0.5000 [1 per cell]
Ge: 0.0000 0.5000 0.8682 [2 per cell]
Ge: 0.5000 0.5000 0.5000 [1 per cell]
Pd: 0.5000 0.5000 0.0000 [1 per cell]
Pt: 0.0000 0.0000 0.0000 [1 per cell]
Pt: 0.0000 0.5000 0.6312 [2 per cell]

E_tot (eV/f.u.): -59.667
DOS(E_F) (states/eV/atom): 0.572

Entry 4:
A plane-wave DFT calculation with PBE was carried out for a relaxed DyGe2PdPt2 crystal.

Cell lengths 4.3360, 4.3360, 6.5895 Å; angles 90.00, 90.00, 120.00 degrees
Space group P-3m1 (No. 164)
One atom of each set of equivalent atoms:
Dy: 0.0000 0.0000 0.0000 [1 per cell]
Ge: 0.3333 0.6667 0.2984 [2 per cell]
Pd: 0.0000 0.0000 0.5000 [1 per cell]
Pt: 0.3333 0.6667 0.7140 [2 per cell]

E_tot (eV/f.u.): -36.061
DOS(E_F) (states/eV/atom): 0.249

Asked for energy relative to the elements across the records above, the calculation gives -0.921, -0.833, -0.868, -0.825 eV per atom in order.